{"formula": "Na2DyFeO4", "functional": "PBE+U", "state": "optimized geometry", "crystal_system": "orthorhombic", "space_group": "No. 74", "total_energy_ev_per_fu": -49.810, "m_tot_mub_per_cell": 9.93, "cell": [[6.547, 0.024, -0.148], [0.020, 6.547, -0.148], [-3.353, -3.355, 4.794]], "species": ["Na", "Na", "Na", "Na", "Dy", "Dy", "Fe", "Fe", "O", "O", "O", "O", "O", "O", "O", "O"], "fractional_positions": [[0.500, 0.000, 0.000], [0.500, 0.000, 0.500], [0.000, 0.000, 0.500], [0.500, 0.500, 0.000], [0.000, 0.500, 0.000], [0.000, 0.500, 0.500], [0.500, 0.500, 0.500], [0.000, 0.000, 0.000], [0.215, 0.755, 0.985], [0.745, 0.285, 0.515], [0.255, 0.715, 0.485], [0.785, 0.245, 0.015], [0.755, 0.745, 0.960], [0.755, 0.745, 0.540], [0.245, 0.255, 0.460], [0.245, 0.255, 0.040]]}